# Na3Pu3PN8

Na3Pu3PN8 after structural relaxation (PBE, Alexandria). Values from VASP.

```
&SYSTEM
  ibrav = 0, nat = 15, ntyp = 4
/
ATOMIC_SPECIES
Na 22.99 Na.upf
Pu 244.00 Pu.upf
P 30.97 P.upf
N 14.01 N.upf
CELL_PARAMETERS angstrom
3.3117 1.9120 5.6595
-3.3117 1.9120 5.6595
0.0000 -3.8241 5.6595
ATOMIC_POSITIONS angstrom
Na -1.6559 -0.9560 5.6595
Na -1.6559 0.9560 11.3190
Na 0.0000 1.9120 5.6595
Pu -3.3117 0.0000 8.4892
Pu -1.6559 0.9560 2.8297
Pu 1.6559 0.9560 2.8297
P 0.0000 0.0000 8.4892
N 0.0000 0.0000 3.8868
N -1.4549 -0.8400 9.4430
N 0.0000 -1.6799 7.5354
N -1.4549 0.8400 7.5354
N 1.4549 -0.8400 9.4430
N 0.0000 1.6799 9.4430
N 1.4549 0.8400 7.5354
N 0.0000 0.0000 13.0917
```

As for the total magnetic moment: 8.0 μB per cell. The value obtained for the calculated total energy is -124.95 eV/cell. The uncorrected formation energy is -38 kJ/mol of atoms.